1.
{"formula": "CoAuCl3", "functional": "meta-GGA SCAN", "state": "PBEsol geometry", "space_group": "Pm-3m (221)", "total_energy_ev_per_atom": -22.191, "formation_energy_uncorrected_ev_per_fu": -0.56, "n_ef_per_ev_cell": 1.3, "density_g_cm3": 6.51, "cell": [[-0.147, 1.855, -4.120], [-4.150, 1.574, 0.856], [1.786, 3.810, 1.652]], "species": ["Co", "Au", "Cl", "Cl", "Cl"], "fractional_positions": [[0.000, 0.000, 0.000], [0.500, 0.500, 0.500], [0.000, 0.500, 0.000], [0.000, 0.000, 0.500], [0.500, 0.000, 0.000]]}

***

2.
{"formula": "HfCo2AuCl", "functional": "meta-GGA SCAN", "state": "PBEsol geometry", "space_group": "P4/mmm (123)", "total_energy_ev_per_atom": -34.579, "formation_energy_uncorrected_ev_per_fu": 1.52, "n_ef_per_ev_cell": 2.7, "density_g_cm3": 11.42, "cell": [[-1.874, 1.120, 3.444], [-3.411, -1.849, -1.254], [1.381, -3.920, 2.025]], "species": ["Hf", "Cl", "Au", "Co", "Co"], "fractional_positions": [[0.000, 0.000, 0.500], [0.000, 0.000, 0.000], [0.500, 0.500, 0.500], [0.000, 0.500, 0.000], [0.500, 0.000, 0.000]]}

***

3.
{"formula": "La2CoAuCl", "functional": "meta-GGA SCAN", "state": "PBEsol geometry", "space_group": "P4/mmm (123)", "total_energy_ev_per_atom": -36.487, "formation_energy_uncorrected_ev_per_fu": -1.78, "n_ef_per_ev_cell": 4.1, "density_g_cm3": 6.35, "cell": [[4.629, 0.000, 0.000], [0.000, 5.668, 0.000], [0.000, 0.000, 5.668]], "species": ["Co", "Cl", "Au", "La", "La"], "fractional_positions": [[0.500, 0.000, 0.000], [0.500, 0.500, 0.500], [0.000, 0.000, 0.000], [0.000, 0.000, 0.500], [0.000, 0.500, 0.000]]}

***

4.
{"formula": "Cr2AuCl", "functional": "meta-GGA SCAN", "state": "PBEsol geometry", "e_above_lowest_polymorph_ev_per_atom": 0.000, "space_group": "Pmmm (47)", "total_energy_ev_per_atom": -28.547, "formation_energy_uncorrected_ev_per_fu": -0.28, "n_ef_per_ev_cell": 2.3, "density_g_cm3": 7.89, "cell": [[3.163, 0.000, 0.000], [0.000, 4.256, 0.000], [0.000, 0.000, 5.260]], "species": ["Cr", "Cr", "Au", "Cl"], "fractional_positions": [[0.000, 0.000, 0.875], [0.500, 0.500, 0.375], [0.000, 0.000, 0.375], [0.500, 0.500, 0.875]]}

***

5.
{"formula": "Cr2AuCl", "functional": "meta-GGA SCAN", "state": "PBEsol geometry", "e_above_lowest_polymorph_ev_per_atom": 0.478, "space_group": "P4/mmm (123)", "total_energy_ev_per_atom": -28.069, "formation_energy_uncorrected_ev_per_fu": 1.63, "n_ef_per_ev_cell": 3.9, "density_g_cm3": 10.56, "cell": [[2.818, 0.000, 0.000], [0.000, 2.818, 0.000], [0.000, 0.000, 6.660]], "species": ["Cr", "Cr", "Au", "Cl"], "fractional_positions": [[0.000, 0.000, 0.716], [0.000, 0.000, 0.284], [0.500, 0.500, 0.000], [0.500, 0.500, 0.500]]}

***

6.
{"formula": "CsCr2AuCl", "functional": "meta-GGA SCAN", "state": "PBEsol geometry", "space_group": "P4/mmm (123)", "total_energy_ev_per_atom": -30.094, "formation_energy_uncorrected_ev_per_fu": 1.24, "n_ef_per_ev_cell": 1.4, "density_g_cm3": 5.45, "cell": [[-4.682, -0.811, -0.258], [0.680, -2.700, -3.859], [0.679, -5.090, 3.681]], "species": ["Cs", "Cr", "Cr", "Au", "Cl"], "fractional_positions": [[0.000, 0.000, 0.500], [0.000, 0.500, 0.000], [0.500, 0.000, 0.000], [0.500, 0.500, 0.500], [0.000, 0.000, 0.000]]}

***

7.
{"formula": "CrAuI2Cl", "functional": "meta-GGA SCAN", "state": "PBEsol geometry", "space_group": "P4/mmm (123)", "total_energy_ev_per_atom": -33.149, "formation_energy_uncorrected_ev_per_fu": 3.26, "n_ef_per_ev_cell": 5.8, "density_g_cm3": 5.41, "cell": [[4.522, 0.000, 0.000], [0.000, 6.044, 0.000], [0.000, 0.000, 6.044]], "species": ["I", "I", "Cr", "Au", "Cl"], "fractional_positions": [[0.000, 0.000, 0.500], [0.000, 0.500, 0.000], [0.500, 0.500, 0.500], [0.500, 0.000, 0.000], [0.000, 0.000, 0.000]]}

***

8.
{"formula": "CrReAuCl2", "functional": "meta-GGA SCAN", "state": "PBEsol geometry", "space_group": "P4/mmm (123)", "total_energy_ev_per_atom": -34.283, "formation_energy_uncorrected_ev_per_fu": 3.18, "n_ef_per_ev_cell": 3.3, "density_g_cm3": 7.74, "cell": [[-0.769, 3.996, -1.863], [1.082, -1.663, -4.012], [-5.175, -1.380, -0.823]], "species": ["Re", "Cl", "Cl", "Au", "Cr"], "fractional_positions": [[0.000, 0.000, 0.000], [0.000, 0.500, 0.000], [0.500, 0.000, 0.000], [0.000, 0.000, 0.500], [0.500, 0.500, 0.500]]}

***

9.
{"formula": "CrAuSCl2", "functional": "meta-GGA SCAN", "state": "PBEsol geometry", "space_group": "P4/mmm (123)", "total_energy_ev_per_atom": -22.473, "formation_energy_uncorrected_ev_per_fu": 0.76, "n_ef_per_ev_cell": 2.2, "density_g_cm3": 5.14, "cell": [[-2.178, -3.274, -2.750], [1.005, -3.392, 3.242], [-4.279, 0.922, 2.291]], "species": ["Cr", "S", "Au", "Cl", "Cl"], "fractional_positions": [[0.500, 0.500, 0.500], [0.000, 0.000, 0.500], [0.000, 0.000, 0.000], [0.000, 0.500, 0.000], [0.500, 0.000, 0.000]]}

***

10.
{"formula": "CrAuS2Cl", "functional": "meta-GGA SCAN", "state": "PBEsol geometry", "space_group": "P4/mmm (123)", "total_energy_ev_per_atom": -22.891, "formation_energy_uncorrected_ev_per_fu": 0.32, "n_ef_per_ev_cell": 2.3, "density_g_cm3": 6.28, "cell": [[4.471, 0.000, 0.000], [0.000, 4.471, 0.000], [0.000, 0.000, 4.610]], "species": ["Cr", "S", "S", "Au", "Cl"], "fractional_positions": [[0.000, 0.000, 0.000], [0.000, 0.500, 0.000], [0.500, 0.000, 0.000], [0.500, 0.500, 0.500], [0.000, 0.000, 0.500]]}

***

11.
{"formula": "Cr2WAuCl", "functional": "meta-GGA SCAN", "state": "PBEsol geometry", "space_group": "P4/mmm (123)", "total_energy_ev_per_atom": -35.341, "formation_energy_uncorrected_ev_per_fu": 6.89, "n_ef_per_ev_cell": 3.8, "density_g_cm3": 10.94, "cell": [[-3.457, 2.042, 1.042], [-2.052, -3.597, 0.239], [1.130, -0.350, 4.436]], "species": ["Cr", "Cr", "Au", "W", "Cl"], "fractional_positions": [[0.000, 0.500, 0.000], [0.500, 0.000, 0.000], [0.000, 0.000, 0.500], [0.500, 0.500, 0.500], [0.000, 0.000, 0.000]]}

***

12.
{"formula": "Cs2AuCl", "functional": "meta-GGA SCAN", "state": "PBEsol geometry", "e_above_lowest_polymorph_ev_per_atom": 0.145, "space_group": "I-42d (122)", "total_energy_ev_per_atom": -39.335, "formation_energy_uncorrected_ev_per_fu": -4.59, "n_ef_per_ev_cell": 0.0, "density_g_cm3": 3.50, "cell": [[-1.079, 1.693, -7.596], [-6.165, -4.866, -0.209], [-1.004, 7.364, 5.847]], "species": ["Cs", "Cs", "Cs", "Cs", "Au", "Au", "Cl", "Cl"], "fractional_positions": [[0.860, 0.375, 0.250], [0.390, 0.875, 0.250], [0.625, 0.610, 0.750], [0.125, 0.140, 0.750], [0.250, 0.750, 0.500], [0.000, 0.000, 0.000], [0.750, 0.250, 0.500], [0.500, 0.500, 0.000]]}